Compound: CaAlAs
Source: Alexandria via LeMat-Bulk
Functional: PBE-GGA
Structure: optimized geometry

Cell: 5.8694 5.8681 3.5575 Å, 72.38 72.34 35.29°
Closest atoms and distances in Å follow each position.
Positions (direct):
As1 0.3677 0.3677 0.6323  4 Al 2.71
Ca1 0.6696 0.6696 0.3304  5 Al 3.11-3.34, 5 As 3.20-3.28
Al1 0.9628 0.9628 0.0372  4 As 2.71

The formation energy is -0.44 eV/atom. Its symmetry is I4mm.